VASP calculation (PBE-GGA) on SrMg2SiIr2 after structural relaxation.

Results
Calculated total energy ... -0.1830 Ha/atom
Theoretical density ... 6.88 g/cm3
Uncorrected formation energy ... -0.31 eV/atom

Structure (CIF):
```
data_SrMg2SiIr2
_chemical_formula_sum 'Sr1 Mg2 Si1 Ir2'
_cell_length_a 4.5765
_cell_length_b 4.5765
_cell_length_c 6.3200
_cell_angle_alpha 90.00
_cell_angle_beta 90.00
_cell_angle_gamma 90.00
_symmetry_space_group_name_H-M 'P 4/m m m'
_symmetry_Int_Tables_number 123
_symmetry_space_group_name_Hall '-P 4 2'
loop_
_atom_site_label
_atom_site_type_symbol
_atom_site_fract_x
_atom_site_fract_y
_atom_site_fract_z
Sr1 Sr 0.0000 0.0000 0.0000
Mg1 Mg 0.5000 0.5000 0.2525
Si1 Si 0.0000 0.0000 0.5000
Ir1 Ir 0.0000 0.5000 0.5000
```

---

VASP calculation (PBE-GGA) on HoSc2Co after structural relaxation.

Results
Calculated formation energy ... -0.20 eV per atom
Calculated total energy ... -0.2311 Ha/atom
Theoretical density ... 5.98 g/cm3
Offset from the most stable computed form ... 0 meV/atom

Structure (CIF):
```
data_HoSc2Co
_chemical_formula_sum 'Ho4 Sc8 Co4'
_cell_length_a 6.6180
_cell_length_b 8.8566
_cell_length_c 5.9478
_cell_angle_alpha 90.00
_cell_angle_beta 90.00
_cell_angle_gamma 90.00
_symmetry_space_group_name_H-M 'P n m a'
_symmetry_Int_Tables_number 62
_symmetry_space_group_name_Hall '-P 2ac 2n'
loop_
_atom_site_label
_atom_site_type_symbol
_atom_site_fract_x
_atom_site_fract_y
_atom_site_fract_z
Ho1 Ho 0.0365 0.2500 0.1300
Sc1 Sc 0.1725 0.0661 0.6730
Co1 Co 0.1099 0.7500 0.4334
```

---

VASP calculation (PBE-GGA) on Sr3Cd3Pb after structural relaxation.

Results
Calculated formation energy ... -0.36 eV per atom
Calculated total energy ... -0.0734 Ha/atom
Theoretical density ... 5.60 g/cm3

Structure (CIF):
```
data_Sr3Cd3Pb
_chemical_formula_sum 'Sr12 Cd12 Pb4'
_cell_length_a 12.2143
_cell_length_b 4.8401
_cell_length_c 17.0404
_cell_angle_alpha 90.00
_cell_angle_beta 108.00
_cell_angle_gamma 90.00
_symmetry_space_group_name_H-M 'C 1 2/m 1'
_symmetry_Int_Tables_number 12
_symmetry_space_group_name_Hall '-C 2y'
loop_
_atom_site_label
_atom_site_type_symbol
_atom_site_fract_x
_atom_site_fract_y
_atom_site_fract_z
Sr1 Sr 0.0336 0.0000 0.3855
Sr2 Sr 0.1082 0.0000 0.9219
Sr3 Sr 0.2442 0.0000 0.2308
Cd1 Cd 0.0267 0.5000 0.2270
Cd2 Cd 0.1044 0.5000 0.0759
Cd3 Cd 0.1283 0.5000 0.5349
Pb1 Pb 0.2409 0.5000 0.3847
```